Computed, not measured: a relaxed RbVNO2 crystal at the PBE with a Hubbard U level of DFT.

abc: 3.942 3.942 4.064
angles: 90.00 90.00 90.00
Fractional positions:
Rb 0.000 0.000 0.000
V 0.500 0.500 0.500
N 0.500 0.500 0.000
O 0.000 0.500 0.500
O 0.500 0.000 0.500

Values from the calculation:
- M_tot: 1.00 μB/cell
- Uncorrected energy: -6.120 eV/atom
- Space group: P4/mmm (123)
- Density: 4.80 g/cm³